{"formula": "Co2PW", "functional": "meta-GGA SCAN", "state": "PBEsol geometry", "lattice": [[2.463, -4.147, 0.000], [2.463, 4.147, 0.000], [-1.277, 0.000, 2.338]], "species": ["Co", "Co", "P", "W"], "frac_coords": [[0.000, 0.500, 0.000], [0.500, 0.000, 0.000], [0.000, 0.000, 0.500], [0.500, 0.500, 0.500]], "e_tot_ev_per_atom": -28.370, "sg": "C2/m, No. 12", "e_form_kj_per_mol_atoms": 29.3}

***

{"formula": "Co3PW2", "functional": "meta-GGA SCAN", "state": "PBEsol geometry", "lattice": [[4.697, 0.000, 0.000], [-2.348, 4.067, 0.000], [0.000, 0.000, 7.226]], "species": ["Co", "Co", "Co", "Co", "Co", "Co", "P", "P", "W", "W", "W", "W"], "frac_coords": [[0.169, 0.337, 0.250], [0.169, 0.831, 0.250], [0.337, 0.169, 0.750], [0.663, 0.831, 0.250], [0.831, 0.169, 0.750], [0.831, 0.663, 0.750], [0.000, 0.000, 0.000], [0.000, 0.000, 0.500], [0.333, 0.667, 0.564], [0.333, 0.667, 0.936], [0.667, 0.333, 0.064], [0.667, 0.333, 0.436]], "e_tot_ev_per_atom": -33.772, "sg": "P6_3/mmc, No. 194", "e_form_kj_per_mol_atoms": -15.2}

***

{"formula": "CoP2W2", "functional": "meta-GGA SCAN", "state": "PBEsol geometry", "lattice": [[-2.056, 2.056, 4.424], [2.056, -2.056, 4.424], [2.056, 2.056, -4.424]], "species": ["Co", "P", "P", "W", "W"], "frac_coords": [[0.000, 0.000, 0.000], [0.382, 0.382, 0.000], [0.618, 0.618, 0.000], [0.250, 0.750, 0.500], [0.750, 0.250, 0.500]], "e_tot_ev_per_atom": -35.252, "sg": "I4/mmm, No. 139", "e_form_kj_per_mol_atoms": 23.5}

***

{"formula": "Co2PW", "functional": "meta-GGA SCAN", "state": "PBEsol geometry", "lattice": [[1.335, 0.771, 7.673], [-1.335, 0.771, 7.673], [0.000, -1.541, 7.673]], "species": ["Co", "Co", "P", "W"], "frac_coords": [[0.239, 0.239, 0.239], [0.761, 0.761, 0.761], [0.500, 0.500, 0.500], [0.000, 0.000, 0.000]], "e_tot_ev_per_atom": -28.539, "sg": "R-3m, No. 166", "e_form_kj_per_mol_atoms": 13.1}

***

{"formula": "Co2PW", "functional": "meta-GGA SCAN", "state": "PBEsol geometry", "lattice": [[-1.787, 1.787, 3.607], [1.787, -1.787, 3.607], [1.787, 1.787, -3.607]], "species": ["Co", "Co", "P", "W"], "frac_coords": [[0.000, 0.000, 0.000], [0.750, 0.250, 0.500], [0.500, 0.500, 0.000], [0.250, 0.750, 0.500]], "e_tot_ev_per_atom": -28.499, "sg": "I-4m2, No. 119", "e_form_kj_per_mol_atoms": 16.9}

***

{"formula": "YCo5P3", "functional": "meta-GGA SCAN", "state": "PBEsol geometry", "lattice": [[11.579, 0.000, 0.000], [0.000, 3.593, 0.000], [0.000, 0.000, 10.158]], "species": ["Y", "Y", "Y", "Y", "Co", "Co", "Co", "Co", "Co", "Co", "Co", "Co", "Co", "Co", "Co", "Co", "Co", "Co", "Co", "Co", "Co", "Co", "Co", "Co", "P", "P", "P", "P", "P", "P", "P", "P", "P", "P", "P", "P"], "frac_coords": [[0.203, 0.250, 0.084], [0.297, 0.750, 0.584], [0.703, 0.250, 0.416], [0.797, 0.750, 0.916], [0.009, 0.750, 0.716], [0.012, 0.750, 0.093], [0.068, 0.750, 0.469], [0.177, 0.250, 0.780], [0.198, 0.250, 0.383], [0.302, 0.750, 0.883], [0.323, 0.750, 0.280], [0.432, 0.250, 0.969], [0.488, 0.250, 0.593], [0.491, 0.250, 0.216], [0.509, 0.750, 0.784], [0.512, 0.750, 0.407], [0.568, 0.750, 0.031], [0.677, 0.250, 0.720], [0.698, 0.250, 0.117], [0.802, 0.750, 0.617], [0.823, 0.750, 0.220], [0.932, 0.250, 0.531], [0.988, 0.250, 0.907], [0.991, 0.250, 0.284], [0.109, 0.750, 0.898], [0.111, 0.250, 0.583], [0.129, 0.750, 0.271], [0.371, 0.250, 0.771], [0.389, 0.750, 0.083], [0.391, 0.250, 0.398], [0.609, 0.750, 0.602], [0.611, 0.250, 0.917], [0.629, 0.750, 0.229], [0.871, 0.250, 0.729], [0.889, 0.750, 0.417], [0.891, 0.250, 0.102]], "e_tot_ev_per_atom": -16.959, "sg": "Pnma, No. 62", "e_form_kj_per_mol_atoms": -75.8}

***

{"formula": "Y2CoP", "functional": "meta-GGA SCAN", "state": "PBEsol geometry", "lattice": [[-3.546, 3.546, 3.303], [3.546, -3.546, 3.303], [3.546, 3.546, -3.303]], "species": ["Y", "Y", "Y", "Y", "Co", "Co", "P", "P"], "frac_coords": [[0.108, 0.625, 0.983], [0.375, 0.358, 0.483], [0.642, 0.125, 0.017], [0.875, 0.892, 0.517], [0.000, 0.000, 0.000], [0.750, 0.250, 0.500], [0.250, 0.750, 0.500], [0.500, 0.500, 0.000]], "e_tot_ev_per_atom": -21.120, "sg": "I-42d, No. 122", "e_form_kj_per_mol_atoms": -26.3}

***

{"formula": "YCoP2", "functional": "meta-GGA SCAN", "state": "PBEsol geometry", "lattice": [[3.707, 0.000, 0.000], [0.000, 3.707, 0.000], [0.000, 0.000, 5.212]], "species": ["Y", "Co", "P", "P"], "frac_coords": [[0.000, 0.000, 0.000], [0.500, 0.500, 0.500], [0.000, 0.000, 0.500], [0.500, 0.500, 0.000]], "e_above_lowest_polymorph_mev_per_atom": 116, "e_tot_ev_per_atom": -16.906, "sg": "P4/mmm, No. 123", "e_form_kj_per_mol_atoms": -40.5}

***

{"formula": "YCo3P2", "functional": "meta-GGA SCAN", "state": "PBEsol geometry", "lattice": [[3.642, 0.000, 0.000], [0.000, 10.384, 0.000], [0.000, 0.000, 12.029]], "species": ["Y", "Y", "Y", "Y", "Y", "Y", "Co", "Co", "Co", "Co", "Co", "Co", "Co", "Co", "Co", "Co", "Co", "Co", "Co", "Co", "Co", "Co", "Co", "Co", "P", "P", "P", "P", "P", "P", "P", "P", "P", "P", "P", "P"], "frac_coords": [[0.250, 0.067, 0.206], [0.250, 0.250, 0.478], [0.250, 0.433, 0.206], [0.750, 0.567, 0.794], [0.750, 0.750, 0.522], [0.750, 0.933, 0.794], [0.250, 0.130, 0.710], [0.250, 0.250, 0.014], [0.250, 0.370, 0.710], [0.250, 0.548, 0.430], [0.250, 0.583, 0.995], [0.250, 0.750, 0.159], [0.250, 0.750, 0.703], [0.250, 0.917, 0.995], [0.250, 0.952, 0.430], [0.750, 0.048, 0.570], [0.750, 0.083, 0.005], [0.750, 0.250, 0.297], [0.750, 0.250, 0.841], [0.750, 0.417, 0.005], [0.750, 0.452, 0.570], [0.750, 0.630, 0.290], [0.750, 0.750, 0.986], [0.750, 0.870, 0.290], [0.250, 0.098, 0.893], [0.250, 0.402, 0.893], [0.250, 0.560, 0.616], [0.250, 0.750, 0.344], [0.250, 0.750, 0.883], [0.250, 0.940, 0.616], [0.750, 0.060, 0.384], [0.750, 0.250, 0.117], [0.750, 0.250, 0.656], [0.750, 0.440, 0.384], [0.750, 0.598, 0.107], [0.750, 0.902, 0.107]], "e_tot_ev_per_atom": -17.659, "sg": "Pmmn, No. 59", "e_form_kj_per_mol_atoms": -86.9}

***

{"formula": "YCoP2", "functional": "meta-GGA SCAN", "state": "PBEsol geometry", "lattice": [[-1.877, 1.877, 4.363], [1.877, -1.877, 4.363], [1.877, 1.877, -4.363]], "species": ["Y", "Co", "P", "P"], "frac_coords": [[0.000, 0.000, 0.000], [0.750, 0.250, 0.500], [0.250, 0.750, 0.500], [0.500, 0.500, 0.000]], "e_above_lowest_polymorph_mev_per_atom": 151, "e_tot_ev_per_atom": -16.871, "sg": "I-4m2, No. 119", "e_form_kj_per_mol_atoms": -37.1}

***

{"formula": "Y4CoP", "functional": "meta-GGA SCAN", "state": "PBEsol geometry", "lattice": [[0.000, 4.169, 4.169], [4.169, 0.000, 4.169], [4.169, 4.169, 0.000]], "species": ["Y", "Y", "Y", "Y", "Co", "P"], "frac_coords": [[0.125, 0.125, 0.125], [0.125, 0.125, 0.626], [0.125, 0.626, 0.125], [0.626, 0.125, 0.125], [0.750, 0.750, 0.750], [0.500, 0.500, 0.500]], "e_tot_ev_per_atom": -22.386, "sg": "F-43m, No. 216", "e_form_kj_per_mol_atoms": 76.6}

***

{"formula": "Y2CoP", "functional": "meta-GGA SCAN", "state": "PBEsol geometry", "lattice": [[3.900, 0.000, 0.000], [0.000, 1.914, 5.152], [0.000, -1.914, 5.152]], "species": ["Y", "Y", "Co", "P"], "frac_coords": [[0.000, 0.000, 0.000], [0.500, 0.279, 0.279], [0.500, 0.573, 0.573], [0.000, 0.705, 0.705]], "e_tot_ev_per_atom": -21.778, "sg": "Amm2, No. 38", "e_form_kj_per_mol_atoms": -89.8}

***

{"formula": "Y2Co12P7", "functional": "meta-GGA SCAN", "state": "PBEsol geometry", "lattice": [[8.898, 0.000, 0.000], [-4.449, 7.706, 0.000], [0.000, 0.000, 3.534]], "species": ["Y", "Y", "Co", "Co", "Co", "Co", "Co", "Co", "Co", "Co", "Co", "Co", "Co", "Co", "P", "P", "P", "P", "P", "P", "P"], "frac_coords": [[0.000, 0.000, 0.000], [0.333, 0.667, 0.500], [0.049, 0.281, 0.500], [0.101, 0.708, 0.000], [0.232, 0.951, 0.500], [0.292, 0.393, 0.000], [0.394, 0.180, 0.000], [0.536, 0.436, 0.500], [0.564, 0.100, 0.500], [0.607, 0.899, 0.000], [0.719, 0.768, 0.500], [0.786, 0.606, 0.000], [0.820, 0.214, 0.000], [0.900, 0.464, 0.500], [0.072, 0.446, 0.000], [0.265, 0.223, 0.500], [0.374, 0.928, 0.000], [0.554, 0.626, 0.000], [0.667, 0.333, 0.000], [0.777, 0.042, 0.500], [0.958, 0.735, 0.500]], "e_tot_ev_per_atom": -16.749, "sg": "P-6, No. 174", "e_form_kj_per_mol_atoms": -71.7}

***

{"formula": "Y2CoP", "functional": "meta-GGA SCAN", "state": "PBEsol geometry", "lattice": [[-1.782, 1.978, 5.639], [1.782, -1.978, 5.639], [1.782, 1.978, -5.639]], "species": ["Y", "Y", "Co", "P"], "frac_coords": [[0.000, 0.000, 0.000], [0.741, 0.241, 0.500], [0.293, 0.793, 0.500], [0.418, 0.418, 0.000]], "e_tot_ev_per_atom": -21.519, "sg": "Imm2, No. 44", "e_form_kj_per_mol_atoms": -64.8}

***

{"formula": "YCoP5", "functional": "meta-GGA SCAN", "state": "PBEsol geometry", "lattice": [[3.752, 0.000, 0.000], [0.000, 3.752, 0.000], [0.000, 0.000, 7.985]], "species": ["Y", "Co", "P", "P", "P", "P", "P"], "frac_coords": [[0.000, 0.000, 0.000], [0.000, 0.000, 0.500], [0.000, 0.500, 0.327], [0.000, 0.500, 0.673], [0.500, 0.000, 0.327], [0.500, 0.000, 0.673], [0.500, 0.500, 0.000]], "e_tot_ev_per_atom": -13.977, "sg": "P4/mmm, No. 123", "e_form_kj_per_mol_atoms": -9.7}

***

{"formula": "YCo2P", "functional": "meta-GGA SCAN", "state": "PBEsol geometry", "lattice": [[3.696, 0.000, 0.000], [0.000, 3.704, 0.000], [-0.013, 0.000, 4.521]], "species": ["Y", "Co", "Co", "P"], "frac_coords": [[0.000, 0.000, 0.000], [0.499, 0.000, 0.472], [0.998, 0.500, 0.471], [0.499, 0.500, 0.699]], "e_tot_ev_per_atom": -18.653, "sg": "Pm, No. 6", "e_form_kj_per_mol_atoms": -42.5}

***

{"formula": "YCoP2", "functional": "meta-GGA SCAN", "state": "PBEsol geometry", "lattice": [[1.911, -2.772, 0.000], [1.911, 2.772, 0.000], [0.000, 0.000, 6.117]], "species": ["Y", "Co", "P", "P"], "frac_coords": [[0.000, 0.000, 0.000], [0.000, 0.000, 0.500], [0.500, 0.500, 0.310], [0.500, 0.500, 0.690]], "e_above_lowest_polymorph_mev_per_atom": 0, "e_tot_ev_per_atom": -17.022, "sg": "Cmmm, No. 65", "e_form_kj_per_mol_atoms": -51.7}

***

{"formula": "Y2Co2P", "functional": "meta-GGA SCAN", "state": "PBEsol geometry", "lattice": [[-1.688, 1.688, 7.885], [1.688, -1.688, 7.885], [1.688, 1.688, -7.885]], "species": ["Y", "Y", "Co", "Co", "P"], "frac_coords": [[0.103, 0.103, 0.000], [0.897, 0.897, 0.000], [0.250, 0.750, 0.500], [0.750, 0.250, 0.500], [0.500, 0.500, 0.000]], "e_tot_ev_per_atom": -20.585, "sg": "I4/mmm, No. 139", "e_form_kj_per_mol_atoms": -43.1}

***

{"formula": "Zn2CoP", "functional": "meta-GGA SCAN", "state": "PBEsol geometry", "lattice": [[0.000, 2.915, 2.915], [2.915, 0.000, 2.915], [2.915, 2.915, 0.000]], "species": ["Zn", "Zn", "Co", "P"], "frac_coords": [[0.000, 0.000, 0.000], [0.250, 0.250, 0.250], [0.750, 0.750, 0.750], [0.500, 0.500, 0.500]], "e_tot_ev_per_atom": -13.360, "sg": "F-43m, No. 216", "e_form_kj_per_mol_atoms": 31.2}

***

{"formula": "Zn2CoP", "functional": "meta-GGA SCAN", "state": "PBEsol geometry", "lattice": [[-1.301, 1.993, 5.328], [1.301, -1.993, 5.328], [1.301, 1.993, -5.328]], "species": ["Zn", "Zn", "Co", "P"], "frac_coords": [[0.000, 0.000, 0.000], [0.672, 0.172, 0.500], [0.207, 0.707, 0.500], [0.370, 0.370, 0.000]], "e_tot_ev_per_atom": -13.671, "sg": "Imm2, No. 44", "e_form_kj_per_mol_atoms": 1.2}

***

{"formula": "Zn2CoP", "functional": "meta-GGA SCAN", "state": "PBEsol geometry", "lattice": [[2.790, 0.000, 0.000], [0.000, 3.020, 0.000], [0.000, 0.000, 6.089]], "species": ["Zn", "Zn", "Co", "P"], "frac_coords": [[0.000, 0.000, 0.000], [0.500, 0.500, 0.275], [0.000, 0.000, 0.556], [0.500, 0.500, 0.702]], "e_tot_ev_per_atom": -13.639, "sg": "Pmm2, No. 25", "e_form_kj_per_mol_atoms": 4.3}

***

{"formula": "Zn2CoP", "functional": "meta-GGA SCAN", "state": "PBEsol geometry", "lattice": [[1.394, 0.805, 7.741], [-1.394, 0.805, 7.741], [0.000, -1.609, 7.741]], "species": ["Zn", "Zn", "Co", "P"], "frac_coords": [[0.000, 0.000, 0.000], [0.240, 0.240, 0.240], [0.490, 0.490, 0.490], [0.761, 0.761, 0.761]], "e_tot_ev_per_atom": -13.673, "sg": "R3m, No. 160", "e_form_kj_per_mol_atoms": 1.0}

***

{"formula": "Zn2CoP", "functional": "meta-GGA SCAN", "state": "PBEsol geometry", "lattice": [[1.298, 0.750, 8.934], [-1.298, 0.750, 8.934], [0.000, -1.499, 8.934]], "species": ["Zn", "Zn", "Co", "P"], "frac_coords": [[0.242, 0.242, 0.242], [0.758, 0.758, 0.758], [0.500, 0.500, 0.500], [0.000, 0.000, 0.000]], "e_tot_ev_per_atom": -13.391, "sg": "R-3m, No. 166", "e_form_kj_per_mol_atoms": 28.2}

***

{"formula": "ZnCoP", "functional": "meta-GGA SCAN", "state": "PBEsol geometry", "lattice": [[-1.460, 1.460, 4.253], [1.460, -1.460, 4.253], [1.460, 1.460, -4.253]], "species": ["Zn", "Co", "P"], "frac_coords": [[0.000, 0.000, 0.000], [0.307, 0.307, 0.000], [0.699, 0.699, 0.000]], "e_tot_ev_per_atom": -13.732, "sg": "I4mm, No. 107", "e_form_kj_per_mol_atoms": 0.7}

***

{"formula": "PaCo3", "functional": "meta-GGA SCAN", "state": "PBEsol geometry", "lattice": [[3.748, 0.000, 0.000], [0.000, 3.748, 0.000], [0.000, 0.000, 3.748]], "species": ["Pa", "Co", "Co", "Co"], "frac_coords": [[0.000, 0.000, 0.000], [0.000, 0.500, 0.500], [0.500, 0.000, 0.500], [0.500, 0.500, 0.000]], "e_tot_ev_per_atom": -38.064, "sg": "Pm-3m, No. 221", "e_form_kj_per_mol_atoms": -16.3}

***

Number 1: ρ 11.57 g/cm³. Number 2: ρ 13.84 g/cm³. Number 3: ρ 10.84 g/cm³. Number 4: ρ 11.66 g/cm³. Number 5: ρ 11.99 g/cm³. Number 6: ρ 7.49 g/cm³. Number 7: ρ 5.35 g/cm³. Number 8: ρ 4.86 g/cm³. Number 9: ρ 7.18 g/cm³. Number 10: ρ 5.67 g/cm³. Number 11: ρ 5.10 g/cm³. Number 12: ρ 5.78 g/cm³. Number 13: ρ 7.55 g/cm³. Number 14: ρ 5.59 g/cm³. Number 15: ρ 4.47 g/cm³. Number 16: ρ 6.38 g/cm³. Number 17: ρ 5.38 g/cm³. Number 18: ρ 6.04 g/cm³. Number 19: ρ 7.40 g/cm³. Number 20: ρ 6.63 g/cm³. Number 21: ρ 7.14 g/cm³. Number 22: ρ 7.04 g/cm³. Number 23: ρ 7.02 g/cm³. Number 24: ρ 7.11 g/cm³. Number 25: ρ 12.86 g/cm³.